A relaxed structure of Bi2MoS2. Source: Alexandria via LeMat-Bulk, functional PBE-GGA.

CIF file:
```
data_Bi2MoS2
_chemical_formula_sum 'Bi4 Mo2 S4'
_symmetry_space_group_name_H-M 'I 4/m m m'
_symmetry_Int_Tables_number 139
_symmetry_space_group_name_Hall '-I 4 2'
_cell_length_a 3.436
_cell_length_b 3.436
_cell_length_c 20.078
_cell_angle_alpha 90.00
_cell_angle_beta 90.00
_cell_angle_gamma 90.00
loop_
_atom_site_label
_atom_site_fract_x
_atom_site_fract_y
_atom_site_fract_z
_atom_site_occupancy
Bi1 0.000 0.000 0.084 1
Mo1 0.000 0.000 0.500 1
S1 0.000 0.500 0.250 1
```

## Properties
The formation energy from raw total energies is 39.9 kJ/mol of atoms. Its offset from the most stable computed form is 0.000 eV per atom. Its volume is 23.7 Å³/atom.